Record 1
VASP calculation (PBE-GGA) on crystalline VGeP3 at its relaxed geometry.

Lattice parameters (Å, degrees): 4.6378 4.6378 4.6378 90.00 90.00 90.00
Space group Pm-3m (No. 221)
One atom of each set of equivalent atoms:
V  0.0000  0.0000  0.0000 [1 per cell]
Ge  0.5000  0.5000  0.5000 [1 per cell]
P  0.0000  0.5000  0.5000 [3 per cell]

## Properties
- ρ: 3.60 g/cm3
- Polymorph energy (0 for the lowest one): 684.0 meV per atom
- M_tot: 2.983 Bohr magnetons per cell
- V: 19.95 Å³/atom
- Formation energy: 1.096 eV per atom



Record 2
VASP calculation (PBE-GGA) on crystalline V4Ge2P at its relaxed geometry.

Lattice parameters (Å, degrees): 4.8156 6.1881 7.3509 87.67 71.16 67.70
Space group P-1 (No. 2)
One atom of each set of equivalent atoms:
V  0.1639  0.3030  0.3713 [2 per cell]
V  0.1877  0.7585  0.8759 [2 per cell]
V  0.2476  0.2587  0.7595 [2 per cell]
V  0.2612  0.7411  0.2382 [2 per cell]
Ge  0.2524  0.9345  0.5572 [2 per cell]
Ge  0.5000  0.0000  0.0000 [1 per cell]
Ge  0.5000  0.5000  0.5000 [1 per cell]
P  0.2534  0.4226  0.0591 [2 per cell]

## Properties
- ρ: 6.61 g/cm3
- Polymorph energy (0 for the lowest one): 0.0 meV per atom
- M_tot: 0.000 Bohr magnetons per cell
- V: 13.64 Å³/atom
- Formation energy: -0.297 eV per atom



Record 3
VASP calculation (PBE-GGA) on crystalline V3GeP at its relaxed geometry.

Lattice parameters (Å, degrees): 4.3258 4.3258 4.3258 90.00 90.00 90.00
Space group Pm-3m (No. 221)
One atom of each set of equivalent atoms:
V  0.0000  0.0000  0.5000 [3 per cell]
Ge  0.5000  0.5000  0.5000 [1 per cell]
P  0.0000  0.0000  0.0000 [1 per cell]

## Properties
- ρ: 5.26 g/cm3
- Polymorph energy (0 for the lowest one): 442.1 meV per atom
- M_tot: 2.561 Bohr magnetons per cell
- V: 16.19 Å³/atom
- Formation energy: 0.214 eV per atom



Record 4
VASP calculation (PBE-GGA) on crystalline V3GeP at its relaxed geometry.

Lattice parameters (Å, degrees): 12.0121 4.3623 5.9968 90.00 94.11 90.00
Space group C2/m (No. 12)
One atom of each set of equivalent atoms:
V  0.0296  0.0000  0.2383 [4 per cell]
V  0.1838  0.0000  0.9761 [4 per cell]
V  0.2167  0.5000  0.6694 [4 per cell]
Ge  0.1075  0.5000  0.1012 [4 per cell]
P  0.1413  0.0000  0.5815 [4 per cell]

## Properties
- ρ: 5.43 g/cm3
- Polymorph energy (0 for the lowest one): 0.0 meV per atom
- M_tot: 0.000 Bohr magnetons per cell
- V: 15.67 Å³/atom
- Formation energy: -0.228 eV per atom



Record 5
VASP calculation (PBE-GGA) on crystalline V5GeP at its relaxed geometry.

Lattice parameters (Å, degrees): 6.4803 6.4671 9.3398 90.00 102.00 90.00
Space group C2/c (No. 15)
One atom of each set of equivalent atoms:
V  0.0000  0.0501  0.2500 [4 per cell]
V  0.1289  0.3691  0.5376 [8 per cell]
V  0.2143  0.2495  0.8690 [8 per cell]
Ge  0.0000  0.4386  0.2500 [4 per cell]
P  0.0000  0.0000  0.0000 [4 per cell]

## Properties
- ρ: 6.22 g/cm3
- M_tot: 0.000 Bohr magnetons per cell
- V: 13.67 Å³/atom
- Formation energy: -0.239 eV per atom



Record 6
VASP calculation (PBE-GGA) on crystalline V6GeP at its relaxed geometry.

Lattice parameters (Å, degrees): 5.5051 5.5082 5.5794 119.54 90.05 119.96
Space group P-1 (No. 2)
One atom of each set of equivalent atoms:
V  0.0036  0.0221  0.2555 [2 per cell]
V  0.2334  0.7372  0.2554 [2 per cell]
V  0.4820  0.7485  0.7445 [2 per cell]
Ge  0.5000  0.5000  0.0000 [1 per cell]
P  0.0000  0.5000  0.5000 [1 per cell]

## Properties
- ρ: 5.64 g/cm3
- M_tot: 0.000 Bohr magnetons per cell
- V: 15.06 Å³/atom
- Formation energy: 0.152 eV per atom



Record 7
VASP calculation (PBE-GGA) on crystalline VGeP3 at its relaxed geometry.

Lattice parameters (Å, degrees): 4.5564 4.5564 4.5564 90.00 90.00 90.00
Space group Pm-3m (No. 221)
One atom of each set of equivalent atoms:
V  0.0000  0.0000  0.0000 [1 per cell]
Ge  0.5000  0.5000  0.5000 [1 per cell]
P  0.0000  0.0000  0.5000 [3 per cell]

## Properties
- ρ: 3.80 g/cm3
- Polymorph energy (0 for the lowest one): 0.0 meV per atom
- M_tot: 0.000 Bohr magnetons per cell
- V: 18.92 Å³/atom
- Formation energy: 0.412 eV per atom



Record 8
VASP calculation (PBE-GGA) on crystalline V8GeP2 at its relaxed geometry.

Lattice parameters (Å, degrees): 6.8256 10.3285 4.5201 90.00 109.64 90.00
Space group C2/m (No. 12)
One atom of each set of equivalent atoms:
V  0.0000  0.2437  0.0000 [4 per cell]
V  0.1130  0.5000  0.8356 [4 per cell]
V  0.2030  0.1142  0.6018 [8 per cell]
Ge  0.0000  0.0000  0.0000 [2 per cell]
P  0.0000  0.3125  0.5000 [4 per cell]

## Properties
- ρ: 6.00 g/cm3
- M_tot: 0.000 Bohr magnetons per cell
- V: 13.64 Å³/atom
- Formation energy: -0.374 eV per atom